Run a
# TbSmGd GGA-PBE relaxed
data_TbSmGd
_chemical_formula_sum 'Tb1 Sm1 Gd1'
_cell_length_a 3.5120
_cell_length_b 5.6750
_cell_length_c 5.6750
_cell_angle_alpha 120.00
_cell_angle_beta 90.00
_cell_angle_gamma 90.00
_space_group_name_H-M_alt 'P 1'
_space_group_IT_number 1
loop_
_space_group_symop_operation_xyz
'x,y,z'
loop_
_atom_site_label
_atom_site_type_symbol
_atom_site_fract_x
_atom_site_fract_y
_atom_site_fract_z
Sm1 Sm 0.1665 0.0000 0.0000
Tb1 Tb 0.6665 0.3333 0.6667
Gd1 Gd 0.1670 0.6667 0.3333
# Magnetic moment (μB/cell): 7.9

Run b
# TbSmGd GGA-PBE relaxed
data_TbSmGd
_chemical_formula_sum 'Tb1 Sm1 Gd1'
_cell_length_a 4.1807
_cell_length_b 4.1807
_cell_length_c 6.4049
_cell_angle_alpha 109.05
_cell_angle_beta 109.05
_cell_angle_gamma 90.00
_space_group_name_H-M_alt 'P 1'
_space_group_IT_number 1
loop_
_space_group_symop_operation_xyz
'x,y,z'
loop_
_atom_site_label
_atom_site_type_symbol
_atom_site_fract_x
_atom_site_fract_y
_atom_site_fract_z
Gd1 Gd 0.9526 0.9526 0.9052
Sm1 Sm 0.2839 0.2839 0.5677
Tb1 Tb 0.6135 0.6135 0.2270
# Magnetic moment (μB/cell): 8.2

Tell me which of them is the most stable. Sure, it is run a.

Run a
# SmGd2Th GGA-PBE relaxed
data_SmGd2Th
_chemical_formula_sum 'Sm1 Gd2 Th1'
_cell_length_a 5.0978
_cell_length_b 5.0577
_cell_length_c 5.0577
_cell_angle_alpha 90.00
_cell_angle_beta 90.00
_cell_angle_gamma 90.00
_space_group_name_H-M_alt 'P 1'
_space_group_IT_number 1
loop_
_space_group_symop_operation_xyz
'x,y,z'
loop_
_atom_site_label
_atom_site_type_symbol
_atom_site_fract_x
_atom_site_fract_y
_atom_site_fract_z
Gd1 Gd 0.0000 0.0000 0.5000
Sm1 Sm 0.5000 0.5000 0.5000
Gd2 Gd 0.0000 0.5000 0.0000
Th1 Th 0.5000 0.0000 0.0000
# Magnetic moment (μB/cell): 14.5

Run b
# SmGd2Th GGA-PBE relaxed
data_SmGd2Th
_chemical_formula_sum 'Sm1 Gd2 Th1'
_cell_length_a 5.7223
_cell_length_b 5.7223
_cell_length_c 5.7223
_cell_angle_alpha 60.00
_cell_angle_beta 60.00
_cell_angle_gamma 60.00
_space_group_name_H-M_alt 'P 1'
_space_group_IT_number 1
loop_
_space_group_symop_operation_xyz
'x,y,z'
loop_
_atom_site_label
_atom_site_type_symbol
_atom_site_fract_x
_atom_site_fract_y
_atom_site_fract_z
Gd1 Gd 0.2500 0.2500 0.2500
Gd2 Gd 0.7500 0.7500 0.7500
Th1 Th 0.0000 0.0000 0.0000
Sm1 Sm 0.5000 0.5000 0.5000
# Magnetic moment (μB/cell): 16.0

Run c
# SmGd2Th GGA-PBE relaxed
data_SmGd2Th
_chemical_formula_sum 'Sm1 Gd2 Th1'
_cell_length_a 3.5807
_cell_length_b 3.5807
_cell_length_c 10.2058
_cell_angle_alpha 90.00
_cell_angle_beta 90.00
_cell_angle_gamma 90.00
_space_group_name_H-M_alt 'P 1'
_space_group_IT_number 1
loop_
_space_group_symop_operation_xyz
'x,y,z'
loop_
_atom_site_label
_atom_site_type_symbol
_atom_site_fract_x
_atom_site_fract_y
_atom_site_fract_z
Sm1 Sm 0.5000 0.5000 0.5000
Gd1 Gd 0.0000 0.0000 0.7591
Th1 Th 0.5000 0.5000 0.0000
Gd2 Gd 0.0000 0.0000 0.2409
# Magnetic moment (μB/cell): 14.2

Tell me which of them is the most stable. Sure, it is run c.

Run a
# SmGd2Tl GGA-PBE relaxed
data_SmGd2Tl
_chemical_formula_sum 'Sm1 Gd2 Tl1'
_cell_length_a 4.9316
_cell_length_b 4.8898
_cell_length_c 4.8898
_cell_angle_alpha 90.00
_cell_angle_beta 90.00
_cell_angle_gamma 90.00
_space_group_name_H-M_alt 'P 1'
_space_group_IT_number 1
loop_
_space_group_symop_operation_xyz
'x,y,z'
loop_
_atom_site_label
_atom_site_type_symbol
_atom_site_fract_x
_atom_site_fract_y
_atom_site_fract_z
Gd1 Gd 0.0000 0.0000 0.5000
Tl1 Tl 0.5000 0.0000 0.0000
Gd2 Gd 0.0000 0.5000 0.0000
Sm1 Sm 0.5000 0.5000 0.5000
# Magnetic moment (μB/cell): 15.5

Run b
# SmGd2Tl GGA-PBE relaxed
data_SmGd2Tl
_chemical_formula_sum 'Sm1 Gd2 Tl1'
_cell_length_a 5.5257
_cell_length_b 5.5257
_cell_length_c 5.5257
_cell_angle_alpha 60.00
_cell_angle_beta 60.00
_cell_angle_gamma 60.00
_space_group_name_H-M_alt 'P 1'
_space_group_IT_number 1
loop_
_space_group_symop_operation_xyz
'x,y,z'
loop_
_atom_site_label
_atom_site_type_symbol
_atom_site_fract_x
_atom_site_fract_y
_atom_site_fract_z
Gd1 Gd 0.2500 0.2500 0.2500
Sm1 Sm 0.0000 0.0000 0.0000
Tl1 Tl 0.5000 0.5000 0.5000
Gd2 Gd 0.7500 0.7500 0.7500
# Magnetic moment (μB/cell): 16.1

Tell me which of them is the most stable. Sure, it is run a.

Run a
# SmGd2Tl GGA-PBE relaxed
data_SmGd2Tl
_chemical_formula_sum 'Sm1 Gd2 Tl1'
_cell_length_a 3.5636
_cell_length_b 3.5636
_cell_length_c 12.3407
_cell_angle_alpha 81.70
_cell_angle_beta 81.70
_cell_angle_gamma 60.00
_space_group_name_H-M_alt 'P 1'
_space_group_IT_number 1
loop_
_space_group_symop_operation_xyz
'x,y,z'
loop_
_atom_site_label
_atom_site_type_symbol
_atom_site_fract_x
_atom_site_fract_y
_atom_site_fract_z
Gd1 Gd 0.9117 0.9117 0.2648
Sm1 Sm 0.5000 0.5000 0.5000
Tl1 Tl 0.0000 0.0000 0.0000
Gd2 Gd 0.0883 0.0883 0.7352
# Magnetic moment (μB/cell): 14.8

Run b
# SmGd2Tl GGA-PBE relaxed
data_SmGd2Tl
_chemical_formula_sum 'Sm1 Gd2 Tl1'
_cell_length_a 3.6431
_cell_length_b 3.6431
_cell_length_c 9.2883
_cell_angle_alpha 90.00
_cell_angle_beta 90.00
_cell_angle_gamma 90.00
_space_group_name_H-M_alt 'P 1'
_space_group_IT_number 1
loop_
_space_group_symop_operation_xyz
'x,y,z'
loop_
_atom_site_label
_atom_site_type_symbol
_atom_site_fract_x
_atom_site_fract_y
_atom_site_fract_z
Gd1 Gd 0.0000 0.0000 0.7719
Tl1 Tl 0.5000 0.5000 0.0000
Gd2 Gd 0.0000 0.0000 0.2281
Sm1 Sm 0.5000 0.5000 0.5000
# Magnetic moment (μB/cell): 14.8

Tell me which of them is the most stable. Sure, it is run b.

Run a
# SmGdTl2 GGA-PBE relaxed
data_SmGdTl2
_chemical_formula_sum 'Sm1 Gd1 Tl2'
_cell_length_a 5.4443
_cell_length_b 5.4443
_cell_length_c 5.4443
_cell_angle_alpha 60.00
_cell_angle_beta 60.00
_cell_angle_gamma 60.00
_space_group_name_H-M_alt 'P 1'
_space_group_IT_number 1
loop_
_space_group_symop_operation_xyz
'x,y,z'
loop_
_atom_site_label
_atom_site_type_symbol
_atom_site_fract_x
_atom_site_fract_y
_atom_site_fract_z
Tl1 Tl 0.2500 0.2500 0.2500
Sm1 Sm 0.5000 0.5000 0.5000
Gd1 Gd 0.0000 0.0000 0.0000
Tl2 Tl 0.7500 0.7500 0.7500
# Magnetic moment (μB/cell): 7.4

Run b
# SmGdTl2 GGA-PBE relaxed
data_SmGdTl2
_chemical_formula_sum 'Sm1 Gd1 Tl2'
_cell_length_a 3.8130
_cell_length_b 3.8130
_cell_length_c 7.8165
_cell_angle_alpha 90.00
_cell_angle_beta 90.00
_cell_angle_gamma 90.00
_space_group_name_H-M_alt 'P 1'
_space_group_IT_number 1
loop_
_space_group_symop_operation_xyz
'x,y,z'
loop_
_atom_site_label
_atom_site_type_symbol
_atom_site_fract_x
_atom_site_fract_y
_atom_site_fract_z
Tl1 Tl 0.0000 0.0000 0.7521
Tl2 Tl 0.0000 0.0000 0.2479
Gd1 Gd 0.5000 0.5000 0.0000
Sm1 Sm 0.5000 0.5000 0.5000
# Magnetic moment (μB/cell): 7.3

Run c
# SmGdTl2 GGA-PBE relaxed
data_SmGdTl2
_chemical_formula_sum 'Sm1 Gd1 Tl2'
_cell_length_a 3.8050
_cell_length_b 3.8050
_cell_length_c 9.9940
_cell_angle_alpha 79.03
_cell_angle_beta 79.03
_cell_angle_gamma 60.00
_space_group_name_H-M_alt 'P 1'
_space_group_IT_number 1
loop_
_space_group_symop_operation_xyz
'x,y,z'
loop_
_atom_site_label
_atom_site_type_symbol
_atom_site_fract_x
_atom_site_fract_y
_atom_site_fract_z
Gd1 Gd 0.5000 0.5000 0.5000
Tl1 Tl 0.7506 0.7506 0.7481
Tl2 Tl 0.2494 0.2494 0.2519
Sm1 Sm 0.0000 0.0000 0.0000
# Magnetic moment (μB/cell): 7.1

Tell me which of them is the most stable. Sure, it is run b.

Run a
# SmGd2Tm GGA-PBE relaxed
data_SmGd2Tm
_chemical_formula_sum 'Sm1 Gd2 Tm1'
_cell_length_a 5.0549
_cell_length_b 5.0371
_cell_length_c 5.0371
_cell_angle_alpha 90.00
_cell_angle_beta 90.00
_cell_angle_gamma 90.00
_space_group_name_H-M_alt 'P 1'
_space_group_IT_number 1
loop_
_space_group_symop_operation_xyz
'x,y,z'
loop_
_atom_site_label
_atom_site_type_symbol
_atom_site_fract_x
_atom_site_fract_y
_atom_site_fract_z
Tm1 Tm 0.5000 0.5000 0.5000
Sm1 Sm 0.5000 0.0000 0.0000
Gd1 Gd 0.0000 0.0000 0.5000
Gd2 Gd 0.0000 0.5000 0.0000
# Magnetic moment (μB/cell): 14.6

Run b
# SmGd2Tm GGA-PBE relaxed
data_SmGd2Tm
_chemical_formula_sum 'Sm1 Gd2 Tm1'
_cell_length_a 5.6825
_cell_length_b 5.6825
_cell_length_c 5.6825
_cell_angle_alpha 60.00
_cell_angle_beta 60.00
_cell_angle_gamma 60.00
_space_group_name_H-M_alt 'P 1'
_space_group_IT_number 1
loop_
_space_group_symop_operation_xyz
'x,y,z'
loop_
_atom_site_label
_atom_site_type_symbol
_atom_site_fract_x
_atom_site_fract_y
_atom_site_fract_z
Gd1 Gd 0.7500 0.7500 0.7500
Gd2 Gd 0.2500 0.2500 0.2500
Sm1 Sm 0.5000 0.5000 0.5000
Tm1 Tm 0.0000 0.0000 0.0000
# Magnetic moment (μB/cell): 16.1

Tell me which of them is the most stable. Sure, it is run a.

Run a
# SmGdZn GGA-PBE relaxed
data_SmGdZn
_chemical_formula_sum 'Sm1 Gd1 Zn1'
_cell_length_a 3.6368
_cell_length_b 3.6368
_cell_length_c 6.6640
_cell_angle_alpha 105.84
_cell_angle_beta 105.84
_cell_angle_gamma 90.00
_space_group_name_H-M_alt 'P 1'
_space_group_IT_number 1
loop_
_space_group_symop_operation_xyz
'x,y,z'
loop_
_atom_site_label
_atom_site_type_symbol
_atom_site_fract_x
_atom_site_fract_y
_atom_site_fract_z
Gd1 Gd 0.0221 0.0221 0.0442
Zn1 Zn 0.6655 0.6655 0.3309
Sm1 Sm 0.3125 0.3125 0.6249
# Magnetic moment (μB/cell): 7.7

Run b
# SmGdZn GGA-PBE relaxed
data_SmGdZn
_chemical_formula_sum 'Sm1 Gd1 Zn1'
_cell_length_a 3.7016
_cell_length_b 5.0278
_cell_length_c 5.0278
_cell_angle_alpha 120.00
_cell_angle_beta 90.00
_cell_angle_gamma 90.00
_space_group_name_H-M_alt 'P 1'
_space_group_IT_number 1
loop_
_space_group_symop_operation_xyz
'x,y,z'
loop_
_atom_site_label
_atom_site_type_symbol
_atom_site_fract_x
_atom_site_fract_y
_atom_site_fract_z
Gd1 Gd 0.0600 0.0000 0.0000
Sm1 Sm 0.6133 0.6667 0.3333
Zn1 Zn 0.3267 0.3333 0.6667
# Magnetic moment (μB/cell): 7.3

Tell me which of them is the most stable. Sure, it is run a.

Run a
# Sm2GdZn GGA-PBE relaxed
data_Sm2GdZn
_chemical_formula_sum 'Sm2 Gd1 Zn1'
_cell_length_a 3.6321
_cell_length_b 3.6321
_cell_length_c 8.7097
_cell_angle_alpha 90.00
_cell_angle_beta 90.00
_cell_angle_gamma 90.00
_space_group_name_H-M_alt 'P 1'
_space_group_IT_number 1
loop_
_space_group_symop_operation_xyz
'x,y,z'
loop_
_atom_site_label
_atom_site_type_symbol
_atom_site_fract_x
_atom_site_fract_y
_atom_site_fract_z
Sm1 Sm 0.0000 0.0000 0.7919
Sm2 Sm 0.0000 0.0000 0.2081
Gd1 Gd 0.5000 0.5000 0.5000
Zn1 Zn 0.5000 0.5000 0.0000
# Magnetic moment (μB/cell): 7.3

Run b
# Sm2GdZn GGA-PBE relaxed
data_Sm2GdZn
_chemical_formula_sum 'Sm2 Gd1 Zn1'
_cell_length_a 3.6228
_cell_length_b 3.6228
_cell_length_c 10.7181
_cell_angle_alpha 80.27
_cell_angle_beta 80.27
_cell_angle_gamma 60.00
_space_group_name_H-M_alt 'P 1'
_space_group_IT_number 1
loop_
_space_group_symop_operation_xyz
'x,y,z'
loop_
_atom_site_label
_atom_site_type_symbol
_atom_site_fract_x
_atom_site_fract_y
_atom_site_fract_z
Sm1 Sm 0.2608 0.2608 0.2177
Zn1 Zn 0.0000 0.0000 0.0000
Gd1 Gd 0.5000 0.5000 0.5000
Sm2 Sm 0.7392 0.7392 0.7823
# Magnetic moment (μB/cell): 7.3

Tell me which of them is the most stable. Sure, it is run a.

Run a
# Sm2GdZn GGA-PBE relaxed
data_Sm2GdZn
_chemical_formula_sum 'Sm2 Gd1 Zn1'
_cell_length_a 3.7810
_cell_length_b 5.4456
_cell_length_c 5.4456
_cell_angle_alpha 90.00
_cell_angle_beta 90.00
_cell_angle_gamma 90.00
_space_group_name_H-M_alt 'P 1'
_space_group_IT_number 1
loop_
_space_group_symop_operation_xyz
'x,y,z'
loop_
_atom_site_label
_atom_site_type_symbol
_atom_site_fract_x
_atom_site_fract_y
_atom_site_fract_z
Zn1 Zn 0.5000 0.0000 0.0000
Sm1 Sm 0.0000 0.5000 0.0000
Sm2 Sm 0.0000 0.0000 0.5000
Gd1 Gd 0.5000 0.5000 0.5000
# Magnetic moment (μB/cell): 7.1

Run b
# Sm2GdZn GGA-PBE relaxed
data_Sm2GdZn
_chemical_formula_sum 'Sm2 Gd1 Zn1'
_cell_length_a 5.4061
_cell_length_b 5.4061
_cell_length_c 5.4061
_cell_angle_alpha 60.00
_cell_angle_beta 60.00
_cell_angle_gamma 60.00
_space_group_name_H-M_alt 'P 1'
_space_group_IT_number 1
loop_
_space_group_symop_operation_xyz
'x,y,z'
loop_
_atom_site_label
_atom_site_type_symbol
_atom_site_fract_x
_atom_site_fract_y
_atom_site_fract_z
Zn1 Zn 0.5000 0.5000 0.5000
Sm1 Sm 0.2500 0.2500 0.2500
Sm2 Sm 0.7500 0.7500 0.7500
Gd1 Gd 0.0000 0.0000 0.0000
# Magnetic moment (μB/cell): 7.7

Tell me which of them is the most stable. Sure, it is run a.

Run a
# SmGdZr GGA-PBE relaxed
data_SmGdZr
_chemical_formula_sum 'Sm1 Gd1 Zr1'
_cell_length_a 3.4358
_cell_length_b 3.4358
_cell_length_c 8.5519
_cell_angle_alpha 90.00
_cell_angle_beta 90.00
_cell_angle_gamma 120.00
_space_group_name_H-M_alt 'P 1'
_space_group_IT_number 1
loop_
_space_group_symop_operation_xyz
'x,y,z'
loop_
_atom_site_label
_atom_site_type_symbol
_atom_site_fract_x
_atom_site_fract_y
_atom_site_fract_z
Zr1 Zr 0.6667 0.3333 0.3321
Gd1 Gd 0.0000 0.0000 0.0215
Sm1 Sm 0.3333 0.6667 0.6464
# Magnetic moment (μB/cell): 7.3

Run b
# SmGdZr GGA-PBE relaxed
data_SmGdZr
_chemical_formula_sum 'Sm1 Gd1 Zr1'
_cell_length_a 3.4109
_cell_length_b 3.4109
_cell_length_c 7.8826
_cell_angle_alpha 102.50
_cell_angle_beta 102.50
_cell_angle_gamma 90.00
_space_group_name_H-M_alt 'P 1'
_space_group_IT_number 1
loop_
_space_group_symop_operation_xyz
'x,y,z'
loop_
_atom_site_label
_atom_site_type_symbol
_atom_site_fract_x
_atom_site_fract_y
_atom_site_fract_z
Zr1 Zr 0.3343 0.3343 0.6686
Gd1 Gd 0.9882 0.9882 0.9764
Sm1 Sm 0.6775 0.6775 0.3550
# Magnetic moment (μB/cell): 7.3

Tell me which of them is the most stable. Sure, it is run b.

Run a
# GdTh2Sn GGA-PBE relaxed
data_GdTh2Sn
_chemical_formula_sum 'Gd1 Th2 Sn1'
_cell_length_a 3.4946
_cell_length_b 3.4946
_cell_length_c 12.5445
_cell_angle_alpha 81.99
_cell_angle_beta 81.99
_cell_angle_gamma 60.00
_space_group_name_H-M_alt 'P 1'
_space_group_IT_number 1
loop_
_space_group_symop_operation_xyz
'x,y,z'
loop_
_atom_site_label
_atom_site_type_symbol
_atom_site_fract_x
_atom_site_fract_y
_atom_site_fract_z
Th1 Th 0.0867 0.0867 0.7398
Gd1 Gd 0.5000 0.5000 0.5000
Sn1 Sn 0.0000 0.0000 0.0000
Th2 Th 0.9133 0.9133 0.2602
# Magnetic moment (μB/cell): 7.3

Run b
# GdTh2Sn GGA-PBE relaxed
data_GdTh2Sn
_chemical_formula_sum 'Gd1 Th2 Sn1'
_cell_length_a 4.1990
_cell_length_b 4.1990
_cell_length_c 6.9665
_cell_angle_alpha 90.00
_cell_angle_beta 90.00
_cell_angle_gamma 90.00
_space_group_name_H-M_alt 'P 1'
_space_group_IT_number 1
loop_
_space_group_symop_operation_xyz
'x,y,z'
loop_
_atom_site_label
_atom_site_type_symbol
_atom_site_fract_x
_atom_site_fract_y
_atom_site_fract_z
Gd1 Gd 0.5000 0.5000 0.5000
Th1 Th 0.0000 0.0000 0.7737
Th2 Th 0.0000 0.0000 0.2263
Sn1 Sn 0.5000 0.5000 0.0000
# Magnetic moment (μB/cell): 7.5

Tell me which of them is the most stable. Sure, it is run b.

Run a
# GdThSn2 GGA-PBE relaxed
data_GdThSn2
_chemical_formula_sum 'Gd1 Th1 Sn2'
_cell_length_a 5.4454
_cell_length_b 5.4454
_cell_length_c 5.4454
_cell_angle_alpha 60.00
_cell_angle_beta 60.00
_cell_angle_gamma 60.00
_space_group_name_H-M_alt 'P 1'
_space_group_IT_number 1
loop_
_space_group_symop_operation_xyz
'x,y,z'
loop_
_atom_site_label
_atom_site_type_symbol
_atom_site_fract_x
_atom_site_fract_y
_atom_site_fract_z
Gd1 Gd 0.5000 0.5000 0.5000
Sn1 Sn 0.2500 0.2500 0.2500
Th1 Th 0.0000 0.0000 0.0000
Sn2 Sn 0.7500 0.7500 0.7500
# Magnetic moment (μB/cell): 7.9

Run b
# GdThSn2 GGA-PBE relaxed
data_GdThSn2
_chemical_formula_sum 'Gd1 Th1 Sn2'
_cell_length_a 4.4589
_cell_length_b 5.0092
_cell_length_c 5.0092
_cell_angle_alpha 90.00
_cell_angle_beta 90.00
_cell_angle_gamma 90.00
_space_group_name_H-M_alt 'P 1'
_space_group_IT_number 1
loop_
_space_group_symop_operation_xyz
'x,y,z'
loop_
_atom_site_label
_atom_site_type_symbol
_atom_site_fract_x
_atom_site_fract_y
_atom_site_fract_z
Th1 Th 0.5000 0.5000 0.5000
Sn1 Sn 0.0000 0.5000 0.0000
Gd1 Gd 0.5000 0.0000 0.0000
Sn2 Sn 0.0000 0.0000 0.5000
# Magnetic moment (μB/cell): 7.6

Tell me which of them is the most stable. Sure, it is run b.